The following is a DFT calculation (PBE) of a geometry-optimized Dy3YTm2As6 structure.

The structure in CIF format:
```
data_Dy3YTm2As6
_space_group_name_H-M_alt 'C 1 2/m 1'
_space_group_IT_number 12
_space_group_name_Hall '-C 2y'
_cell_length_a 7.105
_cell_length_b 12.303
_cell_length_c 7.102
_cell_angle_alpha 90.00
_cell_angle_beta 109.45
_cell_angle_gamma 90.00
loop_
_atom_site_label
_atom_site_type_symbol
_atom_site_fract_x
_atom_site_fract_y
_atom_site_fract_z
Dy1 Dy 0.000 0.000 0.000
Dy2 Dy 0.000 0.334 0.000
Y1 Y 0.000 0.500 0.500
Tm1 Tm 0.000 0.167 0.500
As1 As 0.247 0.000 0.748
As2 As 0.250 0.168 0.252
```

Mass density in g/cm3: 7.7
N(E_F) in states/eV/f.u.: 1.87
Energy of formation in meV/atom: -1528.7